{"formula": "Al4CdP", "functional": "PBE", "state": "relaxed", "cell": [[0.0000, 3.8051, 3.8051], [3.8051, 0.0000, 3.8051], [3.8051, 3.8051, 0.0000]], "species": ["Al", "Al", "Al", "Al", "Cd", "P"], "frac_coords": [[0.1251, 0.1251, 0.1251], [0.1251, 0.1251, 0.6247], [0.1251, 0.6247, 0.1251], [0.6247, 0.1251, 0.1251], [0.7500, 0.7500, 0.7500], [0.5000, 0.5000, 0.5000]], "formation_enthalpy_0k_mev_per_atom": 335, "density_g_cm3": 3.8}

{"formula": "Li2La4N", "functional": "PBE", "state": "relaxed", "cell": [[-2.6017, 2.6017, 7.6590], [2.6017, -2.6017, 7.6590], [2.6017, 2.6017, -7.6590]], "species": ["Li", "Li", "La", "La", "La", "La", "N"], "frac_coords": [[0.1334, 0.1334, 0.0000], [0.8666, 0.8666, 0.0000], [0.0000, 0.5000, 0.5000], [0.3403, 0.3403, 0.0000], [0.5000, 0.0000, 0.5000], [0.6597, 0.6597, 0.0000], [0.5000, 0.5000, 0.0000]], "density_g_cm3": 4.7, "e_form_raw_mev_per_atom": -240}

{"formula": "PrInPb", "functional": "PBE", "state": "relaxed", "cell": [[4.8295, 0.0000, 0.0000], [-2.4147, 4.1824, 0.0000], [0.0000, 0.0000, 4.5484]], "species": ["Pr", "In", "Pb"], "frac_coords": [[0.0000, 0.0000, 0.0000], [0.3333, 0.6667, 0.6414], [0.6667, 0.3333, 0.3914]], "formation_enthalpy_0k_mev_per_atom": -393, "density_g_cm3": 8.4}

{"formula": "RbTaTi2Ir", "functional": "PBE", "state": "relaxed", "cell": [[5.0401, 0.0000, 0.0000], [0.0000, 5.0401, 0.0000], [0.0000, 0.0000, 4.9172]], "species": ["Rb", "Ta", "Ti", "Ti", "Ir"], "frac_coords": [[0.0000, 0.0000, 0.0000], [0.5000, 0.5000, 0.5000], [0.0000, 0.5000, 0.5000], [0.5000, 0.0000, 0.5000], [0.5000, 0.5000, 0.0000]], "formation_enthalpy_0k_mev_per_atom": 1074, "density_g_cm3": 7.4}